# 1
{
  "formula": "Zn3Sb4",
  "functional": "PBE",
  "state": "optimized geometry",
  "dft_energy_ha_per_atom": -0.098,
  "lattice": [[5.255, 0.000, 0.000], [-2.627, 4.551, 0.000], [0.000, 0.000, 6.778]],
  "species": ["Zn", "Zn", "Zn", "Sb", "Sb", "Sb", "Sb"],
  "frac_coords": [[0.000, 0.500, 0.000], [0.500, 0.000, 0.000], [0.500, 0.500, 0.000], [0.000, 0.000, 0.249], [0.000, 0.000, 0.751], [0.333, 0.667, 0.500], [0.667, 0.333, 0.500]]
}

# 2
{
  "formula": "Cr3Os",
  "functional": "PBE",
  "state": "optimized geometry",
  "formation_enthalpy_0k_ev_per_fu": 7.1,
  "dft_energy_ha_per_atom": -0.303,
  "lattice": [[4.757, 0.000, 0.000], [0.000, 4.757, 0.000], [0.000, 0.000, 4.757]],
  "species": ["Cr", "Cr", "Cr", "Os"],
  "frac_coords": [[0.000, 0.000, 0.500], [0.000, 0.500, 0.000], [0.500, 0.000, 0.000], [0.000, 0.000, 0.000]]
}

# 3
{
  "formula": "Ca3HfTi",
  "functional": "PBE",
  "state": "optimized geometry",
  "formation_enthalpy_0k_ev_per_fu": 6.1,
  "dft_energy_ha_per_atom": -0.131,
  "lattice": [[5.506, 0.000, 0.000], [0.000, 5.506, 0.000], [0.000, 0.000, 5.506]],
  "species": ["Ca", "Ca", "Ca", "Hf", "Ti"],
  "frac_coords": [[0.000, 0.000, 0.500], [0.000, 0.500, 0.000], [0.500, 0.000, 0.000], [0.500, 0.500, 0.500], [0.000, 0.000, 0.000]]
}

# 4
{
  "formula": "BeCuSb3",
  "functional": "PBE",
  "state": "optimized geometry",
  "dft_energy_ha_per_atom": -0.123,
  "lattice": [[4.885, 0.000, 0.000], [0.000, 4.885, 0.000], [0.000, 0.000, 4.885]],
  "species": ["Be", "Cu", "Sb", "Sb", "Sb"],
  "frac_coords": [[0.000, 0.000, 0.000], [0.500, 0.500, 0.500], [0.000, 0.000, 0.500], [0.000, 0.500, 0.000], [0.500, 0.000, 0.000]]
}

# 5
{
  "formula": "CaTlCuRe2",
  "functional": "PBE",
  "state": "optimized geometry",
  "formation_enthalpy_0k_ev_per_fu": 13.0,
  "dft_energy_ha_per_atom": -0.150,
  "lattice": [[4.882, 0.000, 0.000], [0.000, 4.882, 0.000], [0.000, 0.000, 4.733]],
  "species": ["Ca", "Tl", "Cu", "Re", "Re"],
  "frac_coords": [[0.000, 0.000, 0.000], [0.500, 0.500, 0.500], [0.000, 0.000, 0.500], [0.000, 0.500, 0.000], [0.500, 0.000, 0.000]]
}

# 6
{
  "formula": "Ba2MgBr6",
  "functional": "PBE",
  "state": "optimized geometry",
  "dft_energy_ha_per_atom": -0.133,
  "lattice": [[7.166, 0.000, 0.000], [0.000, 7.166, 0.000], [0.000, 0.000, 13.947]],
  "species": ["Ba", "Ba", "Ba", "Ba", "Mg", "Mg", "Br", "Br", "Br", "Br", "Br", "Br", "Br", "Br", "Br", "Br", "Br", "Br"],
  "frac_coords": [[0.000, 0.000, 0.166], [0.000, 0.000, 0.834], [0.500, 0.500, 0.334], [0.500, 0.500, 0.666], [0.000, 0.000, 0.500], [0.500, 0.500, 0.000], [0.183, 0.183, 0.358], [0.183, 0.183, 0.642], [0.226, 0.226, 0.000], [0.274, 0.726, 0.500], [0.317, 0.683, 0.142], [0.317, 0.683, 0.858], [0.683, 0.317, 0.142], [0.683, 0.317, 0.858], [0.726, 0.274, 0.500], [0.774, 0.774, 0.000], [0.817, 0.817, 0.358], [0.817, 0.817, 0.642]]
}